(1)
! Ce7Co2Pb3 (PBE-GGA, relaxed); values from VASP
! Energy relative to the elements, eV/atom: -0.320
! Total moment, Bohr magnetons per cell: 4.4
! D(E_F), states/eV/atom: 2.584
&SYSTEM
  ibrav = 0, nat = 12, ntyp = 3
/
ATOMIC_SPECIES
Ce 140.12 Ce.upf
Co 58.93 Co.upf
Pb 207.20 Pb.upf
ATOMIC_POSITIONS crystal
Ce 0.000 0.396 0.791
Ce 0.000 0.786 0.573
Ce 0.000 0.000 0.000
Ce 0.000 0.604 0.209
Ce 0.500 0.100 0.200
Ce 0.500 0.900 0.800
Ce 0.000 0.214 0.427
Co 0.000 0.895 0.790
Co 0.000 0.105 0.210
Pb 0.500 0.500 0.000
Pb 0.500 0.691 0.382
Pb 0.500 0.309 0.618
CELL_PARAMETERS angstrom
-3.260 2.575 2.597
0.860 -2.956 4.011
9.199 9.664 1.964

=====

(2)
! Ce3CoPb2 (PBE-GGA, relaxed); values from VASP
! Energy relative to the elements, eV/atom: -0.187
! Total moment, Bohr magnetons per cell: 4.2
! D(E_F), states/eV/atom: 2.417
&SYSTEM
  ibrav = 0, nat = 12, ntyp = 3
/
ATOMIC_SPECIES
Ce 140.12 Ce.upf
Co 58.93 Co.upf
Pb 207.20 Pb.upf
ATOMIC_POSITIONS crystal
Ce 0.453 0.609 0.788
Ce 0.328 0.000 0.184
Ce 0.547 0.391 0.212
Ce 0.937 0.609 0.212
Ce 0.063 0.391 0.788
Ce 0.672 0.000 0.816
Co 0.670 0.660 0.000
Co 0.330 0.340 0.000
Pb 0.000 0.000 0.000
Pb 0.500 0.000 0.500
Pb 0.129 0.742 0.500
Pb 0.871 0.258 0.500
CELL_PARAMETERS angstrom
-2.953 -1.733 6.256
3.461 -3.922 4.612
2.119 6.060 5.429

=====

(3)
! Ce4Co2Pb3 (PBE-GGA, relaxed); values from VASP
! Energy relative to the elements, eV/atom: -0.333
! Total moment, Bohr magnetons per cell: 2.1
! D(E_F), states/eV/atom: 1.632
&SYSTEM
  ibrav = 0, nat = 18, ntyp = 3
/
ATOMIC_SPECIES
Ce 140.12 Ce.upf
Co 58.93 Co.upf
Pb 207.20 Pb.upf
ATOMIC_POSITIONS crystal
Ce 0.450 0.856 0.324
Ce 0.050 0.676 0.144
Ce 0.550 0.144 0.676
Ce 0.950 0.324 0.856
Ce 0.120 0.213 0.387
Ce 0.380 0.613 0.787
Ce 0.880 0.787 0.613
Ce 0.620 0.387 0.213
Co 0.357 0.921 0.548
Co 0.143 0.452 0.079
Co 0.643 0.079 0.452
Co 0.857 0.548 0.921
Pb 0.943 0.016 0.211
Pb 0.557 0.789 0.984
Pb 0.057 0.984 0.789
Pb 0.443 0.211 0.016
Pb 0.250 0.501 0.499
Pb 0.750 0.499 0.501
CELL_PARAMETERS angstrom
6.473 0.596 0.427
1.144 8.907 0.325
1.144 3.178 8.327

=====

(4)
! Ce5CoPb4 (PBE-GGA, relaxed); values from VASP
! Energy relative to the elements, eV/atom: -0.197
! Total moment, Bohr magnetons per cell: 3.3
! D(E_F), states/eV/atom: 2.598
&SYSTEM
  ibrav = 0, nat = 10, ntyp = 3
/
ATOMIC_SPECIES
Ce 140.12 Ce.upf
Co 58.93 Co.upf
Pb 207.20 Pb.upf
ATOMIC_POSITIONS crystal
Ce 0.895 0.346 0.866
Ce 0.241 0.866 0.654
Ce 0.761 0.134 0.346
Ce 0.107 0.654 0.134
Ce 0.501 0.000 0.000
Co 0.001 0.000 0.000
Pb 0.436 0.394 0.736
Pb 0.830 0.736 0.606
Pb 0.172 0.264 0.394
Pb 0.566 0.606 0.264
CELL_PARAMETERS angstrom
6.342 0.000 0.000
3.171 6.887 0.000
3.171 0.000 6.887

=====

(5)
! Ce7Co2Pb (PBE-GGA, relaxed); values from VASP
! Energy relative to the elements, eV/atom: -0.024
! Total moment, Bohr magnetons per cell: 6.0
! D(E_F), states/eV/atom: 2.966
&SYSTEM
  ibrav = 0, nat = 10, ntyp = 3
/
ATOMIC_SPECIES
Ce 140.12 Ce.upf
Co 58.93 Co.upf
Pb 207.20 Pb.upf
ATOMIC_POSITIONS crystal
Ce 0.000 0.705 0.295
Ce 0.000 0.295 0.705
Ce 0.500 0.041 0.299
Ce 0.500 0.959 0.701
Ce 0.500 0.299 0.041
Ce 0.500 0.701 0.959
Ce 0.500 0.500 0.500
Co 0.500 0.682 0.318
Co 0.500 0.318 0.682
Pb 0.000 0.000 0.000
CELL_PARAMETERS angstrom
-3.652 2.221 2.334
-3.865 -7.009 0.621
4.886 1.536 6.183

=====

(6)
! Ce3CoPb (PBE-GGA, relaxed); values from VASP
! Energy relative to the elements, eV/atom: -0.201
! Total moment, Bohr magnetons per cell: 2.6
! ΔE to the lowest computed polymorph, eV per atom: 0.088
! D(E_F), states/eV/atom: 2.414
&SYSTEM
  ibrav = 0, nat = 10, ntyp = 3
/
ATOMIC_SPECIES
Ce 140.12 Ce.upf
Co 58.93 Co.upf
Pb 207.20 Pb.upf
ATOMIC_POSITIONS crystal
Ce 0.355 0.710 0.064
Ce 0.125 0.251 0.621
Ce 0.895 0.790 0.761
Ce 0.105 0.210 0.239
Ce 0.645 0.290 0.936
Ce 0.875 0.749 0.379
Co 0.873 0.745 0.066
Co 0.127 0.255 0.934
Pb 0.607 0.215 0.428
Pb 0.393 0.785 0.572
CELL_PARAMETERS angstrom
5.690 -0.001 0.002
-2.835 5.953 -0.251
-0.005 -2.988 8.085

=====

(7)
! Ce12Co2Pb5 (PBE-GGA, relaxed); values from VASP
! Energy relative to the elements, eV/atom: -0.155
! Total moment, Bohr magnetons per cell: 8.5
! D(E_F), states/eV/atom: 2.594
&SYSTEM
  ibrav = 0, nat = 19, ntyp = 3
/
ATOMIC_SPECIES
Ce 140.12 Ce.upf
Co 58.93 Co.upf
Pb 207.20 Pb.upf
ATOMIC_POSITIONS crystal
Ce 0.934 0.868 0.104
Ce 0.117 0.750 0.864
Ce 0.633 0.750 0.864
Ce 0.991 0.637 0.323
Ce 0.646 0.637 0.323
Ce 0.531 0.062 0.715
Ce 0.469 0.938 0.285
Ce 0.009 0.363 0.677
Ce 0.354 0.363 0.677
Ce 0.883 0.250 0.136
Ce 0.367 0.250 0.136
Ce 0.066 0.132 0.896
Co 0.662 0.000 0.000
Co 0.338 0.000 0.000
Pb 0.332 0.664 0.550
Pb 0.270 0.541 0.053
Pb 0.000 0.000 0.500
Pb 0.730 0.459 0.947
Pb 0.668 0.336 0.450
CELL_PARAMETERS angstrom
7.771 0.000 0.000
-3.886 8.693 0.589
0.000 -2.467 7.971

=====

(8)
! Ce6Co2Pb (PBE-GGA, relaxed); values from VASP
! Energy relative to the elements, eV/atom: -0.119
! Total moment, Bohr magnetons per cell: 4.7
! ΔE to the lowest computed polymorph, eV per atom: 0.110
! D(E_F), states/eV/atom: 2.231
&SYSTEM
  ibrav = 0, nat = 18, ntyp = 3
/
ATOMIC_SPECIES
Ce 140.12 Ce.upf
Co 58.93 Co.upf
Pb 207.20 Pb.upf
ATOMIC_POSITIONS crystal
Ce 0.401 0.832 0.540
Ce 0.099 0.460 0.168
Ce 0.599 0.168 0.460
Ce 0.901 0.540 0.832
Ce 0.022 0.688 0.478
Ce 0.478 0.522 0.312
Ce 0.978 0.312 0.522
Ce 0.522 0.478 0.688
Ce 0.316 0.772 0.994
Ce 0.184 0.006 0.228
Ce 0.684 0.228 0.006
Ce 0.816 0.994 0.772
Co 0.097 0.685 0.858
Co 0.403 0.142 0.315
Co 0.903 0.315 0.142
Co 0.597 0.858 0.685
Pb 0.250 0.158 0.842
Pb 0.750 0.842 0.158
CELL_PARAMETERS angstrom
-1.392 -0.876 -6.508
5.582 -5.657 -3.787
-5.129 -7.034 -1.310

=====

Copy entry 7 word for word.
! Ce12Co2Pb5 (PBE-GGA, relaxed); values from VASP
! Energy relative to the elements, eV/atom: -0.155
! Total moment, Bohr magnetons per cell: 8.5
! D(E_F), states/eV/atom: 2.594
&SYSTEM
  ibrav = 0, nat = 19, ntyp = 3
/
ATOMIC_SPECIES
Ce 140.12 Ce.upf
Co 58.93 Co.upf
Pb 207.20 Pb.upf
ATOMIC_POSITIONS crystal
Ce 0.934 0.868 0.104
Ce 0.117 0.750 0.864
Ce 0.633 0.750 0.864
Ce 0.991 0.637 0.323
Ce 0.646 0.637 0.323
Ce 0.531 0.062 0.715
Ce 0.469 0.938 0.285
Ce 0.009 0.363 0.677
Ce 0.354 0.363 0.677
Ce 0.883 0.250 0.136
Ce 0.367 0.250 0.136
Ce 0.066 0.132 0.896
Co 0.662 0.000 0.000
Co 0.338 0.000 0.000
Pb 0.332 0.664 0.550
Pb 0.270 0.541 0.053
Pb 0.000 0.000 0.500
Pb 0.730 0.459 0.947
Pb 0.668 0.336 0.450
CELL_PARAMETERS angstrom
7.771 0.000 0.000
-3.886 8.693 0.589
0.000 -2.467 7.971

=====

> Look up the total moment of the fifth one.

6.0 Bohr magnetons per cell